1.
The following is a DFT calculation (PBE) of an optimized crystal structure of PmTiP2.

## Properties
Energy of formation   -161 meV/atom
E above lowest polymorph   0.758 eV per atom
Size of the total moment   0.9 μB per cell

Cell: 4.2250 4.2250 7.9690 Å, 74.63 74.63 60.00°
Closest atoms and distances in Å follow each position.
Positions (direct):
Ti (0.0000, 0.0000, 0.0000)  2 P 2.29
P (0.8994, 0.8994, 0.3018)  1 Ti 2.29
P (0.1006, 0.1006, 0.6982)  1 Ti 2.29
Pm (0.5000, 0.5000, 0.5000)  6 P 2.87

---

2.
The following is a DFT calculation (PBE) of an optimized crystal structure of PmTiP2.

## Properties
Energy of formation   -649 meV/atom
E above lowest polymorph   0.269 eV per atom
Size of the total moment   1.3 μB per cell

Cell: 3.4271 4.7101 4.7101 Å, 90.00 90.00 90.00°
Closest atoms and distances in Å follow each position.
Positions (direct):
Pm (0.5000, 0.0000, 0.0000)  8 P 2.91
P (0.0000, 0.0000, 0.5000)  4 Ti 2.91, 4 Pm 2.91
P (0.0000, 0.5000, 0.0000)  4 Pm 2.91, 4 Ti 2.91
Ti (0.5000, 0.5000, 0.5000)  8 P 2.91

---

3.
The following is a DFT calculation (PBE) of an optimized crystal structure of PmTiP2.

## Properties
Energy of formation   -918 meV/atom
E above lowest polymorph   0.000 eV per atom
Size of the total moment   0.4 μB per cell

Cell: 3.7059 3.7059 6.7277 Å, 105.99 105.99 89.98°
Closest atoms and distances in Å follow each position.
Positions (direct):
Pm (0.2213, 0.8812, 0.2282)  8 P 3.05
Ti (0.4712, 0.6311, 0.7282)  4 P 2.41
P (0.5953, 0.2550, 0.9758)  2 Ti 2.41
P (0.8474, 0.5074, 0.4805)  2 Ti 2.41

---

4.
The following is a DFT calculation (PBE) of an optimized crystal structure of Pm3TlP.

## Properties
Energy of formation   -797 meV/atom
E above lowest polymorph   0.000 eV per atom
Size of the total moment   0.0 μB per cell

Cell: 4.1013 9.1264 15.7474 Å, 90.00 90.00 90.00°
Closest atoms and distances in Å follow each position.
Positions (direct):
Tl (0.7500, 0.4008, 0.6807)  8 Pm 3.34-3.61
Tl (0.7500, 0.9008, 0.8193)  8 Pm 3.34-3.61
Tl (0.2500, 0.5992, 0.3193)  8 Pm 3.34-3.61
Tl (0.2500, 0.0992, 0.1807)  8 Pm 3.34-3.61
P (0.2500, 0.8324, 0.5537)  6 Pm 2.75-2.84
P (0.7500, 0.6676, 0.0537)  6 Pm 2.75-2.84
P (0.7500, 0.1676, 0.4463)  6 Pm 2.75-2.84
P (0.2500, 0.3324, 0.9463)  6 Pm 2.75-2.84
Pm (0.7500, 0.1610, 0.0165)  2 P 2.81
Pm (0.2500, 0.6868, 0.7069)  1 P 2.75
Pm (0.7500, 0.0262, 0.6070)  3 P 2.84
Pm (0.2500, 0.8390, 0.9835)  2 P 2.81
Pm (0.7500, 0.6610, 0.4835)  2 P 2.81
Pm (0.2500, 0.4738, 0.1070)  3 P 2.84
Pm (0.7500, 0.8132, 0.2069)  1 P 2.75
Pm (0.7500, 0.3132, 0.2931)  1 P 2.75
Pm (0.2500, 0.1868, 0.7931)  1 P 2.75
Pm (0.2500, 0.3390, 0.5165)  2 P 2.81
Pm (0.7500, 0.5262, 0.8930)  3 P 2.84
Pm (0.2500, 0.9738, 0.3930)  3 P 2.84

---

5.
The following is a DFT calculation (PBE) of an optimized crystal structure of Pm3TlP.

## Properties
Energy of formation   -650 meV/atom
E above lowest polymorph   0.148 eV per atom
Size of the total moment   0.0 μB per cell

Cell: 5.4304 5.4304 5.4304 Å, 90.00 90.00 90.00°
Closest atoms and distances in Å follow each position.
Positions (direct):
Tl (0.5000, 0.5000, 0.5000)  12 Pm 3.84
Pm (0.5000, 0.0000, 0.0000)  2 P 2.72
Pm (0.0000, 0.5000, 0.0000)  2 P 2.72
Pm (0.0000, 0.0000, 0.5000)  2 P 2.72
P (0.0000, 0.0000, 0.0000)  6 Pm 2.72

---

6.
The following is a DFT calculation (PBE) of an optimized crystal structure of Pm4Tl2P.

## Properties
Energy of formation   -654 meV/atom
Size of the total moment   0.0 μB per cell

Cell: 4.2092 6.7585 8.1862 Å, 75.07 75.10 71.86°
Closest atoms and distances in Å follow each position.
Positions (direct):
Pm (0.6641, 0.7401, 0.9318)  2 P 2.80
Pm (0.3359, 0.2599, 0.0682)  2 P 2.80
Pm (0.9127, 0.8202, 0.3544)  1 P 2.82
Pm (0.0873, 0.1798, 0.6456)  1 P 2.82
P (0.0000, 0.0000, 0.0000)  6 Pm 2.80-2.82
Tl (0.6323, 0.4032, 0.3323)  1 Tl 3.14, 7 Pm 3.22-3.47
Tl (0.3677, 0.5968, 0.6677)  1 Tl 3.14, 7 Pm 3.22-3.47